This record from the Alexandria database describes NaV6O15 after structural relaxation. The functional is PBE with a Hubbard U.

Properties
Calculated volume in A^3/atom: 19.66
Total magnetization in μB/f.u.: 1.000
Energy above the lowest structure with this stoichiometry in meV per atom: 38

```
22
Lattice="5.883 0.103 -0.080 -1.095 7.979 -0.056 -0.704 -0.453 9.207" Properties=species:S:1:pos:R:3 pbc="T T T"
Na 4.421 7.839 4.519
V 4.497 6.541 0.735
V 3.280 2.980 3.973
V 3.097 2.280 0.699
V 0.788 5.429 8.440
V 0.323 4.533 5.182
V -0.607 1.150 8.426
O 5.788 0.157 -0.016
O 4.328 6.729 2.349
O 3.131 5.635 0.017
O 4.497 3.990 4.722
O 3.302 3.284 2.148
O 3.746 2.108 8.725
O 3.654 1.400 4.217
O 3.175 0.750 1.204
O 0.695 6.954 7.903
O 0.358 6.145 4.845
O 0.148 5.612 0.455
O 0.535 4.401 7.051
O 1.647 3.389 4.536
O 0.778 2.068 9.115
O -0.462 0.927 6.816
```